# Ba3SrO

A relaxed Ba3SrO crystal (PBE-GGA, the Alexandria database).

Structure (POSCAR):
```
Ba3SrO
1.0
6.636 0.000 0.000
0.000 6.636 0.000
0.000 0.000 6.636
Sr Ba O
1 3 1
direct
0.000 0.000 0.000
0.000 0.500 0.000
0.000 0.000 0.500
0.500 0.000 0.000
0.500 0.500 0.500
```

Properties
Distance to the lowest polymorph of the same formula in meV per atom: 1764
Final energy in eV/f.u.: -7.8
Formation energy without anion corrections in eV/atom: 0.927
V in A^3/atom: 58.444